[1]
Here is crystalline VRhN at its relaxed geometry from Alexandria. Energies are from GGA-PBE.

Lattice parameters (Å, degrees): 2.7241 2.6720 8.7978 90.00 90.00 90.00
Closest atoms and distances in Å follow each position.
Fractional positions:
V 0.0000 0.0000 0.8668  4 N 2.07
V 0.5000 0.0000 0.5934  6 N 2.04-2.08
N 0.0000 0.5000 0.5129  4 V 2.04, 2 Rh 2.18
N 0.5000 0.5000 0.7750  6 V 2.07-2.08
Rh 0.5000 0.5000 0.0927  8 Rh 2.67-2.74, 4 V 2.75, 1 N 2.80
Rh 0.0000 0.0000 0.3164  2 N 2.18

Summary:
E_form (uncorrected) = -13.7 kcal/mol of atoms
Space-group type = No. 25

[2]
Here is crystalline Pm3HoEr3S8 at its relaxed geometry from Alexandria. Energies are from GGA-PBE.

Lattice parameters (Å, degrees): 7.8395 7.8396 7.9173 119.68 90.00 120.00
Closest atoms and distances in Å follow each position.
Fractional positions:
Pm 0.0000 0.5000 0.0000  6 S 2.84
Pm 0.0000 0.0000 0.0000  6 S 2.84
Pm 0.5000 0.5000 0.0000  6 S 2.84
S 0.7523 0.0102 0.2625  2 Er 2.73, 1 Ho 2.76, 2 Pm 2.84
S 0.2551 0.5102 0.2652  3 Er 2.73, 3 Pm 2.84
S 0.7422 0.9898 0.7375  2 Er 2.73, 1 Ho 2.76, 2 Pm 2.84
S 0.2578 0.0102 0.2625  2 Er 2.73, 1 Ho 2.76, 2 Pm 2.84
S 0.2477 0.9898 0.7375  2 Er 2.73, 1 Ho 2.76, 2 Pm 2.84
S 0.7523 0.5047 0.2625  2 Er 2.73, 1 Ho 2.76, 2 Pm 2.84
S 0.7449 0.4898 0.7348  3 Er 2.73, 3 Pm 2.84
S 0.2477 0.4953 0.7375  2 Er 2.73, 1 Ho 2.76, 2 Pm 2.84
Er 0.5000 0.0000 0.5000  6 S 2.73
Er 0.5000 0.5000 0.5000  6 S 2.73
Er 0.0000 0.5000 0.5000  6 S 2.73
Ho 0.0000 0.0000 0.5000  6 S 2.76

Summary:
E_form (uncorrected) = -47.2 kcal/mol of atoms
Space-group type = No. 166

Among the records above, which one has the lowest E_form (uncorrected)?
Pm3HoEr3S8

The highest E_form (uncorrected) belongs to which entry?
VRhN